a | The following is a PBE calculation of crystalline Mg2ScGe2 at its relaxed geometry, from the Alexandria database.

Cell lengths 4.1362, 4.1362, 6.6031 Å; angles 71.75, 71.75, 90.00 degrees
With the nearest neighbours (Å) after each atom.
Positions (direct):
Sc 0.0000 0.0000 0.0000  8 Ge 3.17
Ge 0.3973 0.3973 0.2055  1 Ge 2.43, 4 Mg 2.71
Ge 0.6027 0.6027 0.7945  1 Ge 2.43, 4 Mg 2.71
Mg 0.7500 0.2500 0.5000  4 Ge 2.71, 4 Mg 2.92
Mg 0.2500 0.7500 0.5000  4 Ge 2.71, 4 Mg 2.92

space-group type	I4/mmm (139)
size of the total moment	0.0	μB/f.u.

=====

b | The following is a PBE calculation of crystalline Mg2ScGe2 at its relaxed geometry, from the Alexandria database.

Cell lengths 7.7464, 7.7464, 3.3459 Å; angles 90.00, 90.00, 90.00 degrees
With the nearest neighbours (Å) after each atom.
Positions (direct):
Sc 0.0000 0.0000 0.0000  4 Ge 2.91
Sc 0.5000 0.5000 0.0000  4 Ge 2.91
Ge 0.3397 0.8397 0.0000  6 Mg 2.75-2.87, 2 Sc 2.91
Ge 0.8397 0.6603 0.0000  6 Mg 2.75-2.87, 2 Sc 2.91
Ge 0.6603 0.1603 0.0000  6 Mg 2.75-2.87, 2 Sc 2.91
Ge 0.1603 0.3397 0.0000  6 Mg 2.75-2.87, 2 Sc 2.91
Mg 0.1403 0.6403 0.5000  6 Ge 2.75-2.87, 1 Mg 3.07
Mg 0.6403 0.8597 0.5000  6 Ge 2.75-2.87, 1 Mg 3.07
Mg 0.8597 0.3597 0.5000  6 Ge 2.75-2.87, 1 Mg 3.07
Mg 0.3597 0.1403 0.5000  6 Ge 2.75-2.87, 1 Mg 3.07

space-group type	P4/mbm (127)
size of the total moment	0.0	μB/f.u.

=====

Which of them is the most stable, and which is the least stable? a and b, in that order.

=====

a | The following is a PBE calculation of crystalline Mg2Sc2Ge at its relaxed geometry, from the Alexandria database.

Cell lengths 6.9038, 6.9038, 4.6073 Å; angles 90.00, 90.00, 90.00 degrees
With the nearest neighbours (Å) after each atom.
Positions (direct):
Sc 0.1647 0.6647 0.5000  6 Mg 2.99-3.12, 1 Sc 3.22
Sc 0.6647 0.8353 0.5000  6 Mg 2.99-3.12, 1 Sc 3.22
Sc 0.8353 0.3353 0.5000  6 Mg 2.99-3.12, 1 Sc 3.22
Sc 0.3353 0.1647 0.5000  6 Mg 2.99-3.12, 1 Sc 3.22
Ge 0.0000 0.0000 0.0000  4 Mg 2.67
Ge 0.5000 0.5000 0.0000  4 Mg 2.67
Mg 0.3604 0.8604 0.0000  2 Ge 2.67, 1 Mg 2.73
Mg 0.8604 0.6397 0.0000  2 Ge 2.67, 1 Mg 2.73
Mg 0.6397 0.1396 0.0000  2 Ge 2.67, 1 Mg 2.73
Mg 0.1396 0.3604 0.0000  2 Ge 2.67, 1 Mg 2.73

space-group type	P4/mbm (127)
size of the total moment	0.0	μB/f.u.

=====

b | The following is a PBE calculation of crystalline Mg2Sc2Ge at its relaxed geometry, from the Alexandria database.

Cell lengths 7.0688, 7.0688, 4.8572 Å; angles 90.00, 90.00, 90.00 degrees
With the nearest neighbours (Å) after each atom.
Positions (direct):
Sc 0.3440 0.8440 0.0000  2 Ge 2.67
Sc 0.8440 0.6560 0.0000  2 Ge 2.67
Sc 0.6560 0.1560 0.0000  2 Ge 2.67
Sc 0.1560 0.3440 0.0000  2 Ge 2.67
Ge 0.0000 0.0000 0.0000  4 Sc 2.67
Ge 0.5000 0.5000 0.0000  4 Sc 2.67
Mg 0.1534 0.6534 0.5000  1 Mg 3.07, 6 Sc 3.09-3.27
Mg 0.6534 0.8466 0.5000  1 Mg 3.07, 6 Sc 3.09-3.27
Mg 0.8466 0.3466 0.5000  1 Mg 3.07, 6 Sc 3.09-3.27
Mg 0.3466 0.1534 0.5000  1 Mg 3.07, 6 Sc 3.09-3.27

space-group type	P4/mbm (127)
size of the total moment	0.0	μB/f.u.

=====

Which of them is the most stable, and which is the least stable? a and b, in that order.

=====

a | The following is a PBE calculation of crystalline MgGeSe3 at its relaxed geometry, from the Alexandria database.

Cell lengths 3.8370, 6.4804, 11.8024 Å; angles 97.60, 90.00, 90.00 degrees
With the nearest neighbours (Å) after each atom.
Positions (direct):
Mg 0.7500 0.3869 0.3341  6 Se 2.66-2.92
Mg 0.2500 0.6131 0.6659  6 Se 2.66-2.92
Ge 0.7500 0.1945 0.7527  4 Se 2.33-2.48
Ge 0.2500 0.8055 0.2473  4 Se 2.33-2.48
Se 0.2500 0.1570 0.2246  1 Ge 2.33
Se 0.2500 0.6613 0.4233  1 Ge 2.39
Se 0.7500 0.8430 0.7754  1 Ge 2.33
Se 0.7500 0.3387 0.5767  1 Ge 2.39
Se 0.7500 0.6259 0.1440  2 Ge 2.48
Se 0.2500 0.3741 0.8560  2 Ge 2.48

space-group type	P2_1/m (11)
size of the total moment	0.0	μB/f.u.

=====

b | The following is a PBE calculation of crystalline MgGeSe3 at its relaxed geometry, from the Alexandria database.

Cell lengths 4.3868, 4.3868, 13.2047 Å; angles 90.00, 90.00, 90.33 degrees
With the nearest neighbours (Å) after each atom.
Positions (direct):
Mg 0.2446 0.2446 0.5000  4 Se 2.60-2.64
Mg 0.2446 0.2446 0.0000  4 Se 2.60-2.64
Ge 0.4084 0.7300 0.2500  4 Se 2.41-2.53
Ge 0.7300 0.4084 0.7500  4 Se 2.41-2.53
Se 0.1047 0.7377 0.4021  1 Ge 2.41, 2 Mg 2.60-2.64
Se 0.1047 0.7377 0.0979  1 Ge 2.41, 2 Mg 2.60-2.64
Se 0.6937 0.2319 0.2500  2 Ge 2.52-2.53
Se 0.7377 0.1047 0.9021  1 Ge 2.41, 2 Mg 2.60-2.64
Se 0.7377 0.1047 0.5979  1 Ge 2.41, 2 Mg 2.60-2.64
Se 0.2319 0.6937 0.7500  2 Ge 2.52-2.53

space-group type	Ama2 (40)
size of the total moment	0.0	μB/f.u.

=====

Which of them is the most stable, and which is the least stable? a and b, in that order.

=====

a | The following is a PBE calculation of crystalline MgGeSe3 at its relaxed geometry, from the Alexandria database.

Cell lengths 5.0211, 5.0211, 5.0211 Å; angles 90.00, 90.00, 90.00 degrees
With the nearest neighbours (Å) after each atom.
Positions (direct):
Ge 0.5000 0.5000 0.5000  12 Se 3.55
Mg 0.0000 0.0000 0.0000  6 Se 2.51
Se 0.0000 0.5000 0.0000  2 Mg 2.51
Se 0.0000 0.0000 0.5000  2 Mg 2.51
Se 0.5000 0.0000 0.0000  2 Mg 2.51

space-group type	Pm-3m (221)
size of the total moment	0.0	μB/f.u.

=====

b | The following is a PBE calculation of crystalline MgGeSe3 at its relaxed geometry, from the Alexandria database.

Cell lengths 5.0059, 5.0059, 5.0059 Å; angles 90.00, 90.00, 90.00 degrees
With the nearest neighbours (Å) after each atom.
Positions (direct):
Ge 0.0000 0.0000 0.0000  6 Se 2.50
Mg 0.5000 0.5000 0.5000  12 Se 3.54
Se 0.0000 0.5000 0.0000  2 Ge 2.50
Se 0.0000 0.0000 0.5000  2 Ge 2.50
Se 0.5000 0.0000 0.0000  2 Ge 2.50

space-group type	Pm-3m (221)
size of the total moment	0.0	μB/f.u.

=====

Which of them is the most stable, and which is the least stable? b and a, in that order.

=====

a | The following is a PBE calculation of crystalline MgGe3Se at its relaxed geometry, from the Alexandria database.

Cell lengths 5.1627, 5.1627, 5.1627 Å; angles 90.00, 90.00, 90.00 degrees
With the nearest neighbours (Å) after each atom.
Positions (direct):
Ge 0.0000 0.5000 0.0000  2 Se 2.58
Ge 0.0000 0.0000 0.5000  2 Se 2.58
Ge 0.5000 0.0000 0.0000  2 Se 2.58
Mg 0.5000 0.5000 0.5000  12 Ge 3.65
Se 0.0000 0.0000 0.0000  6 Ge 2.58

space-group type	Pm-3m (221)
size of the total moment	0.0	μB/f.u.

=====

b | The following is a PBE calculation of crystalline MgGe3Se at its relaxed geometry, from the Alexandria database.

Cell lengths 5.0248, 5.0248, 5.0248 Å; angles 90.00, 90.00, 90.00 degrees
With the nearest neighbours (Å) after each atom.
Positions (direct):
Ge 0.0000 0.5000 0.0000  2 Mg 2.51
Ge 0.0000 0.0000 0.5000  2 Mg 2.51
Ge 0.5000 0.0000 0.0000  2 Mg 2.51
Mg 0.0000 0.0000 0.0000  6 Ge 2.51
Se 0.5000 0.5000 0.5000  12 Ge 3.55

space-group type	Pm-3m (221)
size of the total moment	0.0	μB/f.u.

=====

Which of them is the most stable, and which is the least stable? a and b, in that order.

=====

a | The following is a PBE calculation of crystalline MgSiGe at its relaxed geometry, from the Alexandria database.

Cell lengths 6.6886, 3.8505, 9.7808 Å; angles 90.00, 104.31, 90.00 degrees
With the nearest neighbours (Å) after each atom.
Positions (direct):
Mg 0.2738 0.0000 0.7417  4 Si 2.82-2.91, 4 Ge 2.89-2.95
Mg 0.7262 0.0000 0.2583  4 Si 2.82-2.91, 4 Ge 2.89-2.95
Mg 0.2738 0.5000 0.2417  4 Si 2.82-2.91, 4 Ge 2.89-2.95
Mg 0.7262 0.5000 0.7583  4 Si 2.82-2.91, 4 Ge 2.89-2.95
Si 0.6483 0.0000 0.9526  1 Si 2.39, 2 Ge 2.48
Si 0.3517 0.0000 0.0474  1 Si 2.39, 2 Ge 2.48
Si 0.6483 0.5000 0.4526  1 Si 2.39, 2 Ge 2.48
Si 0.3517 0.5000 0.5474  1 Si 2.39, 2 Ge 2.48
Ge 0.1441 0.0000 0.4308  2 Si 2.48, 1 Ge 2.62
Ge 0.8559 0.0000 0.5692  2 Si 2.48, 1 Ge 2.62
Ge 0.1441 0.5000 0.9308  2 Si 2.48, 1 Ge 2.62
Ge 0.8559 0.5000 0.0692  2 Si 2.48, 1 Ge 2.62

space-group type	C2/m (12)
size of the total moment	0.0	μB/f.u.

=====

b | The following is a PBE calculation of crystalline MgSiGe at its relaxed geometry, from the Alexandria database.

Cell lengths 5.2480, 3.8465, 6.6495 Å; angles 90.00, 114.74, 90.00 degrees
With the nearest neighbours (Å) after each atom.
Positions (direct):
Mg 0.6259 0.0000 0.7188  4 Si 2.86-2.96, 4 Ge 2.88-2.91
Mg 0.6259 0.5000 0.2188  4 Si 2.86-2.96, 4 Ge 2.88-2.91
Si 0.2461 0.0000 0.9254  3 Ge 2.48
Si 0.2461 0.5000 0.4254  3 Ge 2.48
Ge 0.0149 0.0000 0.5150  3 Si 2.48
Ge 0.0149 0.5000 0.0150  3 Si 2.48

space-group type	Cm (8)
size of the total moment	0.0	μB/f.u.

=====

Which of them is the most stable, and which is the least stable? a and b, in that order.